The following is a DFT calculation (PBE with a Hubbard U) of a relaxed structure of MoSeO.

The structure in CIF format:
```
data_MoSeO
_symmetry_space_group_name_H-M 'P 1'
_symmetry_Int_Tables_number 1
_symmetry_space_group_name_Hall 'P 1'
_cell_length_a 6.465
_cell_length_b 6.490
_cell_length_c 6.765
_cell_angle_alpha 116.65
_cell_angle_beta 112.62
_cell_angle_gamma 90.13
loop_
_atom_site_label
_atom_site_type_symbol
_atom_site_fract_x
_atom_site_fract_y
_atom_site_fract_z
Mo1 Mo 0.000 0.000 0.000
Mo2 Mo 0.013 0.958 0.513
Mo3 Mo 0.265 0.546 0.817
Mo4 Mo 0.563 0.188 0.527
Se1 Se 0.024 0.655 0.097
Se2 Se 0.563 0.730 0.271
Se3 Se 0.574 0.654 0.710
Se4 Se 0.859 0.263 0.354
O1 O 0.104 0.796 0.744
O2 O 0.277 0.177 0.230
O3 O 0.327 0.220 0.696
O4 O 0.867 0.129 0.771
```

## Properties
Volume (Å³/atom): 19.07
VASP energy (eV/f.u.): -17.7
Fermi-level density of states (states/eV/cell): 1.64
Crystal system: triclinic
Size of the total moment (μB per atom): 0.672